--- i ---
BaHf3Pt | PBE | relaxed

Magnetization: 0.000 μB per atom
SG: Pm-3m, No. 221

Cell and atoms, written as POSCAR:
```
BaHf3Pt
1.0
-2.915 3.607 2.251
-3.065 0.109 -4.143
-2.946 -3.682 2.083
Hf Pt Ba
3 1 1
Direct
0.500 0.000 0.000
0.000 0.500 0.000
0.000 0.000 0.500
0.500 0.500 0.500
0.000 0.000 0.000
```

--- ii ---
BaHf3Pt | PBE | relaxed

Magnetization: 0.000 μB per atom
SG: Pm-3m, No. 221

Cell and atoms, written as POSCAR:
```
BaHf3Pt
1.0
5.224 0.000 0.000
0.000 5.224 0.000
0.000 0.000 5.224
Hf Pt Ba
3 1 1
Direct
0.000 0.500 0.000
0.500 0.000 0.000
0.000 0.000 0.500
0.000 0.000 0.000
0.500 0.500 0.500
```

It turns out ii is the most stable, with the second structure 1.979 eV/atom higher.